Record 1
A plane-wave DFT calculation with PBE was carried out for an optimized crystal structure of GaCuRe2Br.

Properties
- Density: 9002 kg/m³
- Calculated volume: 108 Å³ per cell
- M_tot: 5.7 Bohr magnetons per cell
- Formation energy from raw total energies: 2.025 eV/atom

a = 4.7527 Å, b = 4.7527 Å, c = 4.7819 Å
α = 90.00°, β = 90.00°, γ = 90.00°
Last column: nearest neighbours and their distance in Å.
Space group P4/mmm (No. 123)
One atom of each set of equivalent atoms:
Ga  0.0000  0.0000  0.0000 (multiplicity 1)  4 Br 3.36, 8 Re 3.37
Cu  0.5000  0.5000  0.5000 (multiplicity 1)  4 Re 2.38, 2 Br 2.39
Re  0.0000  0.5000  0.5000 (multiplicity 2)  2 Cu 2.38
Br  0.5000  0.5000  0.0000 (multiplicity 1)  2 Cu 2.39

***

Record 2
A plane-wave DFT calculation with PBE was carried out for an optimized crystal structure of SmErOsRh.

Properties
- Density: 12477 kg/m³
- Calculated volume: 325 Å³ per cell
- M_tot: 0.0 Bohr magnetons per cell
- Formation enthalpy at 0 K: -0.407 eV per atom

a = 6.8763 Å, b = 6.8763 Å, c = 6.8763 Å
α = 90.00°, β = 90.00°, γ = 90.00°
Last column: nearest neighbours and their distance in Å.
Space group F-43m (No. 216)
One atom of each set of equivalent atoms:
Sm  0.0000  0.0000  0.0000 (multiplicity 4)  4 Os 2.98, 4 Rh 2.98
Er  0.0000  0.0000  0.5000 (multiplicity 4)  4 Os 2.98, 4 Rh 2.98
Os  0.2500  0.2500  0.7500 (multiplicity 4)  4 Er 2.98, 4 Sm 2.98
Rh  0.2500  0.2500  0.2500 (multiplicity 4)  4 Er 2.98, 4 Sm 2.98

***

Record 3
A plane-wave DFT calculation with PBE was carried out for an optimized crystal structure of Ba4NaLa3O8.

Properties
- Density: 6061 kg/m³
- Calculated volume: 918 Å³ per cell
- M_tot: 0.0 Bohr magnetons per cell
- Formation energy from raw total energies: -2.601 eV/atom

a = 7.4940 Å, b = 7.4940 Å, c = 18.8776 Å
α = 90.00°, β = 90.00°, γ = 120.00°
Last column: nearest neighbours and their distance in Å.
Space group R-3m (No. 166, hexagonal axes)
One atom of each set of equivalent atoms:
Ba  0.0000  0.0000  0.0000 (multiplicity 3)  6 O 2.73
Ba  0.0000  0.5000  0.0000 (multiplicity 9)  6 O 2.84-2.86
Na  0.0000  0.0000  0.5000 (multiplicity 3)  6 O 2.65
La  0.0000  0.5000  0.5000 (multiplicity 9)  6 O 2.50-2.53
O  0.0000  0.0000  0.2362 (multiplicity 6)  3 La 2.53
O  0.0182  0.5091  0.7622 (multiplicity 18)  2 La 2.50, 1 Na 2.65, 1 Ba 2.73

***

Record 4
A plane-wave DFT calculation with PBE was carried out for an optimized crystal structure of NaICl2.

Properties
- Density: 2706 kg/m³
- Distance to the lowest polymorph of the same formula: 0.0000 eV/atom
- Calculated volume: 406 Å³ per cell
- M_tot: 0.0 Bohr magnetons per cell
- Formation energy from raw total energies: -0.960 eV/atom

a = 4.4800 Å, b = 4.4800 Å, c = 23.3826 Å
α = 90.00°, β = 90.00°, γ = 120.00°
Last column: nearest neighbours and their distance in Å.
Space group R-3m (No. 166, hexagonal axes)
One atom of each set of equivalent atoms:
Na  0.0000  0.0000  0.0000 (multiplicity 3)  6 Cl 2.90
I  0.0000  0.0000  0.5000 (multiplicity 3)  2 Cl 2.58
Cl  0.0000  0.0000  0.3895 (multiplicity 6)  1 I 2.58

***

Record 5
A plane-wave DFT calculation with PBE was carried out for an optimized crystal structure of TlGe2Ru2.

Properties
- Density: 10200 kg/m³
- Distance to the lowest polymorph of the same formula: 0.0000 eV/atom
- Calculated volume: 180 Å³ per cell
- M_tot: 0.0 Bohr magnetons per cell
- Formation enthalpy at 0 K: 0.038 eV per atom

a = 3.8069 Å, b = 3.8069 Å, c = 12.3974 Å
α = 90.00°, β = 90.00°, γ = 90.00°
Last column: nearest neighbours and their distance in Å.
Space group I4/mmm (No. 139)
One atom of each set of equivalent atoms:
Tl  0.0000  0.0000  0.0000 (multiplicity 2)  8 Ru 3.05
Ge  0.0000  0.5000  0.2500 (multiplicity 4)  4 Ru 2.52, 4 Ge 2.69
Ru  0.0000  0.0000  0.3837 (multiplicity 4)  4 Ge 2.52

***

Record 6
A plane-wave DFT calculation with PBE was carried out for an optimized crystal structure of SrAg2Pb2.

Properties
- Density: 8709 kg/m³
- Calculated volume: 274 Å³ per cell
- M_tot: 0.0 Bohr magnetons per cell
- Formation enthalpy at 0 K: -0.124 eV per atom

a = 8.3991 Å, b = 8.3991 Å, c = 3.8801 Å
α = 90.00°, β = 90.00°, γ = 90.00°
Last column: nearest neighbours and their distance in Å.
Space group P4/mbm (No. 127)
One atom of each set of equivalent atoms:
Sr  0.0000  0.0000  0.0000 (multiplicity 2)  4 Ag 3.35, 8 Pb 3.65
Ag  0.1198  0.3802  0.0000 (multiplicity 4)  1 Ag 2.85, 2 Pb 3.10
Pb  0.1767  0.6767  0.5000 (multiplicity 4)  6 Ag 3.10-3.19

***

Q: Which density of states at the Fermi level values were calculated for the entries above? A: 4.746; 13.155; 17.315; 0.000; 4.157; 7.268, in states/eV per cell.